1.
Entry from the Alexandria database: a geometry-optimized CaTmPd2 structure (PBE).

CIF file:
```
data_CaTmPd2
_cell_length_a 6.964
_cell_length_b 6.964
_cell_length_c 6.964
_cell_angle_alpha 90.00
_cell_angle_beta 90.00
_cell_angle_gamma 90.00
_space_group_name_H-M_alt 'F m -3 m'
_space_group_IT_number 225
_space_group_name_Hall '-F 4 2 3'
loop_
_atom_site_label
_atom_site_fract_x
_atom_site_fract_y
_atom_site_fract_z
Ca1 0.000 0.000 0.000
Tm1 0.000 0.000 0.500
Pd1 0.250 0.250 0.250
```

Values from the calculation:
The calculated formation energy comes out at -0.80 eV/atom.

---

2.
Entry from the Alexandria database: a geometry-optimized Pm4SnBiN structure (PBE).

CIF file:
```
data_Pm4SnBiN
_cell_length_a 6.891
_cell_length_b 16.540
_cell_length_c 6.888
_cell_angle_alpha 90.00
_cell_angle_beta 90.00
_cell_angle_gamma 90.00
_space_group_name_H-M_alt 'C m c m'
_space_group_IT_number 63
_space_group_name_Hall '-C 2c 2'
loop_
_atom_site_label
_atom_site_fract_x
_atom_site_fract_y
_atom_site_fract_z
Pm1 0.000 0.089 0.250
Pm2 0.000 0.407 0.250
Pm3 0.250 0.250 0.000
Sn1 0.000 0.108 0.750
Bi1 0.000 0.394 0.750
N1 0.000 0.250 0.250
```

Values from the calculation:
For the formation energy without anion corrections, the calculation gives -616 kJ/mol of formula units.

---

3.
Entry from the Alexandria database: a geometry-optimized KFe2Os structure (PBE).

CIF file:
```
data_KFe2Os
_cell_length_a 7.087
_cell_length_b 7.087
_cell_length_c 6.248
_cell_angle_alpha 90.00
_cell_angle_beta 90.00
_cell_angle_gamma 90.00
_space_group_name_H-M_alt 'I -4 2 d'
_space_group_IT_number 122
_space_group_name_Hall 'I -4 2bw'
loop_
_atom_site_label
_atom_site_fract_x
_atom_site_fract_y
_atom_site_fract_z
K1 0.000 0.000 0.000
Fe1 0.167 0.250 0.625
Os1 0.000 0.000 0.500
```

Values from the calculation:
The calculated formation energy comes out at 1.52 eV/atom.

---

4.
Entry from the Alexandria database: a geometry-optimized CaSn2Sb structure (PBE).

CIF file:
```
data_CaSn2Sb
_cell_length_a 3.9533
_cell_length_b 3.9533
_cell_length_c 30.9906
_cell_angle_alpha 90.00
_cell_angle_beta 90.00
_cell_angle_gamma 120.00
_space_group_name_H-M_alt 'R -3 m'
_space_group_IT_number 166
_space_group_name_Hall '-R 3 2"'
loop_
_atom_site_label
_atom_site_fract_x
_atom_site_fract_y
_atom_site_fract_z
Ca1 0.0000 0.0000 0.0000
Sn1 0.0000 0.0000 0.1025
Sb1 0.0000 0.0000 0.5000
```

Values from the calculation:
For the formation energy without anion corrections, the calculation gives 38 kJ/mol of formula units.

---

5.
Entry from the Alexandria database: a geometry-optimized MnCuP2 structure (PBE).

CIF file:
```
data_MnCuP2
_cell_length_a 12.326
_cell_length_b 2.683
_cell_length_c 3.344
_cell_angle_alpha 90.00
_cell_angle_beta 90.12
_cell_angle_gamma 90.00
_space_group_name_H-M_alt 'C 1 m 1'
_space_group_IT_number 8
loop_
_space_group_symop_operation_xyz
'x,y,z'
'x,-y,z'
'x+1/2,y+1/2,z'
'x+1/2,-y+1/2,z'
loop_
_atom_site_label
_atom_site_fract_x
_atom_site_fract_y
_atom_site_fract_z
Mn1 0.000 0.000 0.000
Cu1 0.268 0.500 0.497
P1 0.077 0.500 0.501
P2 0.352 0.000 0.998
```

Values from the calculation:
The calculated formation energy comes out at -0.11 eV/atom.

---

6.
Entry from the Alexandria database: a geometry-optimized SbIr structure (PBE).

CIF file:
```
data_SbIr
_cell_length_a 5.443
_cell_length_b 5.443
_cell_length_c 5.443
_cell_angle_alpha 90.00
_cell_angle_beta 90.00
_cell_angle_gamma 90.00
_space_group_name_H-M_alt 'F m -3 m'
_space_group_IT_number 225
_space_group_name_Hall '-F 4 2 3'
loop_
_atom_site_label
_atom_site_fract_x
_atom_site_fract_y
_atom_site_fract_z
Sb1 0.000 0.000 0.000
Ir1 0.000 0.000 0.500
```

Values from the calculation:
For the formation energy without anion corrections, the calculation gives 36 kJ/mol of formula units.

---

7.
Entry from the Alexandria database: a geometry-optimized Tl2Se structure (PBE).

CIF file:
```
data_Tl2Se
_cell_length_a 3.845
_cell_length_b 3.845
_cell_length_c 12.970
_cell_angle_alpha 90.00
_cell_angle_beta 90.00
_cell_angle_gamma 90.00
_space_group_name_H-M_alt 'I 4/m m m'
_space_group_IT_number 139
_space_group_name_Hall '-I 4 2'
loop_
_atom_site_label
_atom_site_fract_x
_atom_site_fract_y
_atom_site_fract_z
Tl1 0.000 0.000 0.133
Se1 0.000 0.000 0.500
```

Values from the calculation:
For the formation energy without anion corrections, the calculation gives -90 kJ/mol of formula units.

---

8.
Entry from the Alexandria database: a geometry-optimized RbAl2Pd structure (PBE).

CIF file:
```
data_RbAl2Pd
_cell_length_a 6.151
_cell_length_b 6.151
_cell_length_c 14.389
_cell_angle_alpha 90.00
_cell_angle_beta 90.00
_cell_angle_gamma 90.00
_space_group_name_H-M_alt 'I 41/a m d'
_space_group_IT_number 141
loop_
_space_group_symop_operation_xyz
'x,y,z'
'-x,-y,-z'
'-y+1/4,x+3/4,z+1/4'
'y+1/4,-x+3/4,-z+1/4'
'-x+1/2,-y,z+1/2'
'x+1/2,y,-z+1/2'
'y+1/4,-x+1/4,z+3/4'
'-y+1/4,x+1/4,-z+3/4'
'x,-y,-z'
'-x,y,z'
'-y+1/4,-x+1/4,-z+3/4'
'y+1/4,x+1/4,z+3/4'
'-x+1/2,y,-z+1/2'
'x+1/2,-y,z+1/2'
'y+1/4,x+3/4,-z+1/4'
'-y+1/4,-x+3/4,z+1/4'
'x+1/2,y+1/2,z+1/2'
'-x+1/2,-y+1/2,-z+1/2'
'-y+3/4,x+1/4,z+3/4'
'y+3/4,-x+1/4,-z+3/4'
'-x,-y+1/2,z'
'x,y+1/2,-z'
'y+3/4,-x+3/4,z+1/4'
'-y+3/4,x+3/4,-z+1/4'
'x+1/2,-y+1/2,-z+1/2'
'-x+1/2,y+1/2,z+1/2'
'-y+3/4,-x+3/4,-z+1/4'
'y+3/4,x+3/4,z+1/4'
'-x,y+1/2,-z'
'x,-y+1/2,z'
'y+3/4,x+1/4,-z+3/4'
'-y+3/4,-x+1/4,z+3/4'
loop_
_atom_site_label
_atom_site_fract_x
_atom_site_fract_y
_atom_site_fract_z
Rb1 0.000 0.250 0.375
Al1 0.000 0.000 0.000
Pd1 0.000 0.250 0.875
```

Values from the calculation:
The calculated formation energy comes out at -0.05 eV/atom.

---

9.
Entry from the Alexandria database: a geometry-optimized Tb2Sm2HoTm structure (PBE).

CIF file:
```
data_Tb2Sm2HoTm
_cell_length_a 6.982
_cell_length_b 5.624
_cell_length_c 9.735
_cell_angle_alpha 90.00
_cell_angle_beta 90.00
_cell_angle_gamma 90.00
_space_group_name_H-M_alt 'P m m a'
_space_group_IT_number 51
loop_
_space_group_symop_operation_xyz
'x,y,z'
'-x,-y,-z'
'-x+1/2,-y,z'
'x+1/2,y,-z'
'x+1/2,-y,-z'
'-x+1/2,y,z'
'-x,y,-z'
'x,-y,z'
loop_
_atom_site_label
_atom_site_fract_x
_atom_site_fract_y
_atom_site_fract_z
Tb1 0.250 0.000 0.162
Tb2 0.250 0.500 0.670
Sm1 0.000 0.500 0.000
Sm2 0.250 0.000 0.822
Ho1 0.250 0.500 0.342
Tm1 0.000 0.000 0.500
```

Values from the calculation:
The calculated formation energy comes out at 0.07 eV/atom.

---

10.
Entry from the Alexandria database: a geometry-optimized RbNb2Ga structure (PBE).

CIF file:
```
data_RbNb2Ga
_cell_length_a 4.898
_cell_length_b 4.898
_cell_length_c 20.138
_cell_angle_alpha 90.00
_cell_angle_beta 90.00
_cell_angle_gamma 90.00
_space_group_name_H-M_alt 'I -4 2 d'
_space_group_IT_number 122
_space_group_name_Hall 'I -4 2bw'
loop_
_atom_site_label
_atom_site_fract_x
_atom_site_fract_y
_atom_site_fract_z
Rb1 0.000 0.000 0.000
Nb1 0.044 0.250 0.625
Ga1 0.000 0.000 0.500
```

Values from the calculation:
The calculated formation energy comes out at 1.19 eV/atom.

---

11.
Entry from the Alexandria database: a geometry-optimized BaCaTlAu structure (PBE).

CIF file:
```
data_BaCaTlAu
_cell_length_a 7.970
_cell_length_b 7.970
_cell_length_c 7.970
_cell_angle_alpha 90.00
_cell_angle_beta 90.00
_cell_angle_gamma 90.00
_space_group_name_H-M_alt 'F -4 3 m'
_space_group_IT_number 216
_space_group_name_Hall 'F -4 2 3'
loop_
_atom_site_label
_atom_site_fract_x
_atom_site_fract_y
_atom_site_fract_z
Ba1 0.000 0.000 0.000
Ca1 0.000 0.000 0.500
Tl1 0.250 0.250 0.750
Au1 0.250 0.250 0.250
```

Values from the calculation:
The calculated formation energy comes out at -0.47 eV/atom.

---

12.
Entry from the Alexandria database: a geometry-optimized SrTcIr structure (PBE).

CIF file:
```
data_SrTcIr
_cell_length_a 6.493
_cell_length_b 6.493
_cell_length_c 6.493
_cell_angle_alpha 90.00
_cell_angle_beta 90.00
_cell_angle_gamma 90.00
_space_group_name_H-M_alt 'F -4 3 m'
_space_group_IT_number 216
_space_group_name_Hall 'F -4 2 3'
loop_
_atom_site_label
_atom_site_fract_x
_atom_site_fract_y
_atom_site_fract_z
Sr1 0.000 0.000 0.000
Tc1 0.000 0.000 0.500
Ir1 0.250 0.250 0.250
```

Values from the calculation:
The calculated formation energy comes out at 0.87 eV/atom.